Entry 1:
First-principles (PBE-GGA) data for a geometry-optimized ZnPtSe2 structure, as listed in Alexandria via LeMat-Bulk.

Structure (extended XYZ):
```
4
Lattice="4.1762 -0.0191 0.0000 -2.6471 3.2302 0.0000 0.0000 0.0000 7.2121" Properties=species:S:1:pos:R:3 pbc="T T T"
Pt 0.7646 1.6055 5.4091
Se 0.0000 0.0000 7.1292
Se 0.0000 0.0000 3.6890
Zn 0.7646 1.6055 1.8030
```

Summary:
As for the raw formation energy: 0.07 eV/atom. The value obtained for the density of states at the Fermi level is 0.957 states/eV/atom. The value obtained for the spin magnetization is 0.00 μB/f.u.

Entry 2:
First-principles (PBE-GGA) data for a geometry-optimized Dy10In3Te3 structure, as listed in Alexandria via LeMat-Bulk.

Structure (extended XYZ):
```
16
Lattice="6.4118 0.0000 0.0000 0.0000 7.8008 -4.5038 0.0000 0.0000 9.0076" Properties=species:S:1:pos:R:3 pbc="T T T"
Dy 1.6100 5.2006 0.0000
Dy 1.6100 2.6003 4.5038
Dy 4.8018 2.6003 4.5038
Dy 4.8018 5.2006 0.0000
Dy 3.2059 0.0000 6.8657
Dy 3.2059 5.9459 -3.4328
Dy 3.2059 1.8550 1.0710
Dy 0.0000 0.0000 2.1796
Dy 0.0000 1.8876 -1.0898
Dy 0.0000 5.9132 3.4140
In 3.2059 0.0000 3.5388
In 3.2059 3.0647 -1.7694
In 3.2059 4.7361 2.7344
Te 0.0000 0.0000 5.5067
Te 0.0000 4.7690 -2.7534
Te 0.0000 3.0319 1.7505
```

Summary:
As for the raw formation energy: -0.70 eV/atom. The value obtained for the density of states at the Fermi level is 0.605 states/eV/atom. The value obtained for the spin magnetization is 0.00 μB/f.u.

Entry 3:
First-principles (PBE-GGA) data for a geometry-optimized Ce2HoPu3P6 structure, as listed in Alexandria via LeMat-Bulk.

Structure (extended XYZ):
```
12
Lattice="6.9920 -0.0008 0.0003 -3.4950 6.0558 0.0003 -1.1661 -2.0190 6.5499" Properties=species:S:1:pos:R:3 pbc="T T T"
Ce 0.0031 4.0356 0.0003
Ce 3.4940 2.0195 0.0003
Ho 0.0000 0.0000 0.0000
Pu -2.3252 4.0340 3.2753
Pu 4.6562 0.0020 3.2753
Pu 1.1655 2.0180 3.2753
P 3.4886 2.0319 4.8778
P 2.3398 4.0513 1.6815
P -1.1576 2.0042 1.6728
P 0.0165 4.0371 4.8778
P -0.0088 -0.0153 4.8691
P 2.3145 -0.0011 1.6728
```

Summary:
The formation energy is -1348 meV/atom. The value obtained for the density of states at the Fermi level is 2.460 states/eV/atom. The value obtained for the spin magnetization is 16.39 μB/f.u.